(1)
VASP calculation (PBE) on PdF2 after structural relaxation.

Results
**Electronic total energy**: -48.266 eV for the cell shown

a = 4.3426 Å, b = 7.4964 Å, c = 5.2405 Å
α = 90.00°, β = 103.75°, γ = 90.00°
Closest atoms and distances in Å follow each position.
Fractional positions:
Pd 0.2414 0.1295 0.0214  4 F 1.98-2.05
Pd 0.2414 0.3705 0.5214  4 F 1.98-2.05
Pd 0.7586 0.6295 0.4786  4 F 1.98-2.05
Pd 0.7586 0.8705 0.9786  4 F 1.98-2.05
F 0.0083 0.6885 0.2154  2 Pd 1.98-2.00
F 0.0083 0.8115 0.7154  2 Pd 1.98-2.00
F 0.4982 0.0610 0.7551  2 Pd 2.01-2.05
F 0.4982 0.4390 0.2551  2 Pd 2.01-2.05
F 0.5018 0.5610 0.7449  2 Pd 2.01-2.05
F 0.5018 0.9390 0.2449  2 Pd 2.01-2.05
F 0.9917 0.1885 0.2846  2 Pd 1.98-2.00
F 0.9917 0.3115 0.7846  2 Pd 1.98-2.00

***

(2)
VASP calculation (PBE) on Pr3Re5C after structural relaxation.

Results
**M_tot**: 0.00 μB/atom
**Electronic total energy**: -80.628 eV for the cell shown

a = 6.4344 Å, b = 6.4344 Å, c = 5.1426 Å
α = 90.00°, β = 90.00°, γ = 120.00°
Closest atoms and distances in Å follow each position.
Fractional positions:
Pr 0.0000 0.6306 0.0000  1 C 2.38
Pr 0.3694 0.3694 0.0000  1 C 2.38
Pr 0.6306 0.0000 0.0000  1 C 2.38
Re 0.0000 0.2453 0.5000  4 Re 2.48-2.73
Re 0.2453 0.0000 0.5000  4 Re 2.48-2.73
Re 0.3333 0.6667 0.5000  3 Re 2.48
Re 0.6667 0.3333 0.5000  3 Re 2.48
Re 0.7547 0.7547 0.5000  4 Re 2.48-2.73
C 0.0000 0.0000 0.0000  3 Pr 2.38

***

> Which formula does entry 1 have?

PdF2

***

> Look up the electronic total energy of the first one.

-48.266 eV for the cell shown

***

> electronic total energy of number 2 (Pr3Re5C)?

-80.628 eV for the cell shown

***

> Which of these has the highest electronic total energy?

PdF2